# Tl3MoO GGA-PBEsol optimized geometry
data_Tl3MoO
_chemical_formula_sum 'Tl3 Mo1 O1'
_cell_length_a 4.762
_cell_length_b 4.762
_cell_length_c 4.762
_cell_angle_alpha 90.00
_cell_angle_beta 90.00
_cell_angle_gamma 90.00
_space_group_name_H-M_alt 'P 1'
_space_group_IT_number 1
loop_
_space_group_symop_operation_xyz
'x,y,z'
loop_
_atom_site_label
_atom_site_fract_x
_atom_site_fract_y
_atom_site_fract_z
_atom_site_occupancy
Tl1 0.000 0.500 0.000 1
Tl2 0.000 0.000 0.500 1
Tl3 0.500 0.000 0.000 1
Mo1 0.500 0.500 0.500 1
O1 0.000 0.000 0.000 1
# N(E_F)	4.78	states/eV/f.u.
# electronic total energy	-0.3129	Ry per atom
# total magnetization	0.548	μB/atom
# E_form (uncorrected)	0.724	eV/atom


# TlMoO3 GGA-PBEsol optimized geometry
data_TlMoO3
_chemical_formula_sum 'Tl1 Mo1 O3'
_cell_length_a 4.174
_cell_length_b 4.174
_cell_length_c 4.174
_cell_angle_alpha 90.00
_cell_angle_beta 90.00
_cell_angle_gamma 90.00
_space_group_name_H-M_alt 'P 1'
_space_group_IT_number 1
loop_
_space_group_symop_operation_xyz
'x,y,z'
loop_
_atom_site_label
_atom_site_fract_x
_atom_site_fract_y
_atom_site_fract_z
_atom_site_occupancy
Tl1 0.000 0.000 0.000 1
Mo1 0.500 0.500 0.500 1
O1 0.000 0.500 0.000 1
O2 0.000 0.000 0.500 1
O3 0.500 0.000 0.000 1
# N(E_F)	4.74	states/eV/f.u.
# electronic total energy	-0.3997	Ry per atom
# total magnetization	0.685	μB/atom
# E_form (uncorrected)	0.592	eV/atom


# Tm2MoO6 GGA-PBEsol optimized geometry
data_Tm2MoO6
_chemical_formula_sum 'Tm8 Mo4 O24'
_cell_length_a 5.241
_cell_length_b 9.681
_cell_length_c 9.681
_cell_angle_alpha 67.80
_cell_angle_beta 74.96
_cell_angle_gamma 74.96
_space_group_name_H-M_alt 'P 1'
_space_group_IT_number 1
loop_
_space_group_symop_operation_xyz
'x,y,z'
loop_
_atom_site_label
_atom_site_fract_x
_atom_site_fract_y
_atom_site_fract_z
_atom_site_occupancy
Tm1 0.378 0.216 0.449 1
Tm2 0.878 0.449 0.216 1
Tm3 0.622 0.784 0.551 1
Tm4 0.122 0.551 0.784 1
Tm5 0.750 0.864 0.136 1
Tm6 0.250 0.136 0.864 1
Tm7 0.750 0.394 0.606 1
Tm8 0.250 0.606 0.394 1
Mo1 0.936 0.986 0.704 1
Mo2 0.564 0.296 0.014 1
Mo3 0.064 0.014 0.296 1
Mo4 0.436 0.704 0.986 1
O1 0.078 0.427 0.391 1
O2 0.422 0.609 0.573 1
O3 0.922 0.573 0.609 1
O4 0.578 0.391 0.427 1
O5 0.080 0.193 0.663 1
O6 0.420 0.337 0.807 1
O7 0.920 0.807 0.337 1
O8 0.580 0.663 0.193 1
O9 0.622 0.116 0.674 1
O10 0.878 0.326 0.884 1
O11 0.378 0.884 0.326 1
O12 0.122 0.674 0.116 1
O13 0.361 0.712 0.813 1
O14 0.139 0.187 0.288 1
O15 0.639 0.288 0.187 1
O16 0.861 0.813 0.712 1
O17 0.486 0.891 0.950 1
O18 0.014 0.050 0.109 1
O19 0.244 0.975 0.566 1
O20 0.986 0.950 0.891 1
O21 0.744 0.566 0.975 1
O22 0.756 0.025 0.434 1
O23 0.256 0.434 0.025 1
O24 0.514 0.109 0.050 1
# N(E_F)	0.00	states/eV/f.u.
# electronic total energy	-0.6565	Ry per atom
# total magnetization	0.000	μB/atom
# E_form (uncorrected)	-3.036	eV/atom


# Tm2Mo4O15 GGA-PBEsol optimized geometry
data_Tm2Mo4O15
_chemical_formula_sum 'Tm4 Mo8 O30'
_cell_length_a 6.690
_cell_length_b 9.490
_cell_length_c 10.480
_cell_angle_alpha 90.00
_cell_angle_beta 105.01
_cell_angle_gamma 90.00
_space_group_name_H-M_alt 'P 1'
_space_group_IT_number 1
loop_
_space_group_symop_operation_xyz
'x,y,z'
loop_
_atom_site_label
_atom_site_fract_x
_atom_site_fract_y
_atom_site_fract_z
_atom_site_occupancy
Tm1 0.289 0.523 0.225 1
Tm2 0.711 0.477 0.775 1
Tm3 0.711 0.023 0.275 1
Tm4 0.289 0.977 0.725 1
Mo1 0.580 0.744 0.011 1
Mo2 0.420 0.256 0.989 1
Mo3 0.420 0.244 0.489 1
Mo4 0.580 0.756 0.511 1
Mo5 0.117 0.904 0.157 1
Mo6 0.883 0.096 0.843 1
Mo7 0.883 0.404 0.343 1
Mo8 0.117 0.596 0.657 1
O1 0.115 0.721 0.151 1
O2 0.885 0.279 0.849 1
O3 0.885 0.221 0.349 1
O4 0.115 0.779 0.651 1
O5 0.473 0.626 0.103 1
O6 0.527 0.374 0.897 1
O7 0.527 0.126 0.397 1
O8 0.473 0.874 0.603 1
O9 0.282 0.348 0.084 1
O10 0.718 0.652 0.916 1
O11 0.718 0.848 0.416 1
O12 0.282 0.152 0.584 1
O13 0.000 0.000 0.000 1
O14 0.000 0.500 0.500 1
O15 0.380 0.663 0.401 1
O16 0.620 0.337 0.599 1
O17 0.620 0.163 0.099 1
O18 0.380 0.837 0.901 1
O19 0.050 0.972 0.295 1
O20 0.950 0.028 0.705 1
O21 0.950 0.472 0.205 1
O22 0.050 0.528 0.795 1
O23 0.379 0.946 0.184 1
O24 0.621 0.054 0.816 1
O25 0.621 0.446 0.316 1
O26 0.379 0.554 0.684 1
O27 0.749 0.865 0.118 1
O28 0.251 0.135 0.882 1
O29 0.251 0.365 0.382 1
O30 0.749 0.635 0.618 1
# N(E_F)	0.00	states/eV/f.u.
# electronic total energy	-0.6545	Ry per atom
# total magnetization	0.000	μB/atom
# E_form (uncorrected)	-2.448	eV/atom


# V3MoO6 GGA-PBEsol optimized geometry
data_V3MoO6
_chemical_formula_sum 'V3 Mo1 O6'
_cell_length_a 4.753
_cell_length_b 4.753
_cell_length_c 5.648
_cell_angle_alpha 65.12
_cell_angle_beta 65.12
_cell_angle_gamma 60.00
_space_group_name_H-M_alt 'P 1'
_space_group_IT_number 1
loop_
_space_group_symop_operation_xyz
'x,y,z'
loop_
_atom_site_label
_atom_site_fract_x
_atom_site_fract_y
_atom_site_fract_z
_atom_site_occupancy
V1 0.339 0.339 0.984 1
V2 0.160 0.160 0.519 1
V3 0.663 0.663 0.012 1
Mo1 0.839 0.839 0.484 1
O1 0.744 0.084 0.758 1
O2 0.414 0.744 0.758 1
O3 0.084 0.414 0.758 1
O4 0.572 0.262 0.242 1
O5 0.924 0.572 0.242 1
O6 0.262 0.924 0.242 1
# N(E_F)	2.92	states/eV/f.u.
# electronic total energy	-0.6895	Ry per atom
# total magnetization	0.311	μB/atom
# E_form (uncorrected)	-2.165	eV/atom


# YMoW2O8 GGA-PBEsol optimized geometry
data_YMoW2O8
_chemical_formula_sum 'Y2 Mo2 W4 O16'
_cell_length_a 5.119
_cell_length_b 5.618
_cell_length_c 9.692
_cell_angle_alpha 90.00
_cell_angle_beta 94.81
_cell_angle_gamma 90.00
_space_group_name_H-M_alt 'P 1'
_space_group_IT_number 1
loop_
_space_group_symop_operation_xyz
'x,y,z'
loop_
_atom_site_label
_atom_site_fract_x
_atom_site_fract_y
_atom_site_fract_z
_atom_site_occupancy
Y1 0.250 0.322 0.750 1
Y2 0.750 0.678 0.250 1
Mo1 0.750 0.634 0.750 1
Mo2 0.250 0.366 0.250 1
W1 0.220 0.874 0.507 1
W2 0.280 0.874 0.993 1
W3 0.780 0.126 0.493 1
W4 0.720 0.126 0.007 1
O1 0.088 0.648 0.861 1
O2 0.412 0.648 0.639 1
O3 0.912 0.352 0.139 1
O4 0.588 0.352 0.361 1
O5 0.084 0.139 0.373 1
O6 0.416 0.139 0.127 1
O7 0.916 0.861 0.627 1
O8 0.584 0.861 0.873 1
O9 0.632 0.378 0.876 1
O10 0.868 0.378 0.624 1
O11 0.368 0.622 0.124 1
O12 0.132 0.622 0.376 1
O13 0.056 0.115 0.901 1
O14 0.944 0.885 0.099 1
O15 0.444 0.115 0.599 1
O16 0.556 0.885 0.401 1
# N(E_F)	4.53	states/eV/f.u.
# electronic total energy	-0.7068	Ry per atom
# total magnetization	0.002	μB/atom
# E_form (uncorrected)	-2.267	eV/atom


# YMoO2 GGA-PBEsol optimized geometry
data_YMoO2
_chemical_formula_sum 'Y1 Mo1 O2'
_cell_length_a 3.476
_cell_length_b 3.476
_cell_length_c 6.007
_cell_angle_alpha 73.18
_cell_angle_beta 73.18
_cell_angle_gamma 60.00
_space_group_name_H-M_alt 'P 1'
_space_group_IT_number 1
loop_
_space_group_symop_operation_xyz
'x,y,z'
loop_
_atom_site_label
_atom_site_fract_x
_atom_site_fract_y
_atom_site_fract_z
_atom_site_occupancy
Y1 0.000 0.000 0.000 1
Mo1 0.500 0.500 0.500 1
O1 0.873 0.873 0.382 1
O2 0.127 0.127 0.618 1
# N(E_F)	1.85	states/eV/f.u.
# electronic total energy	-0.6492	Ry per atom
# total magnetization	0.416	μB/atom
# E_form (uncorrected)	-1.561	eV/atom


# Y5Mo2O12 GGA-PBEsol optimized geometry
data_Y5Mo2O12
_chemical_formula_sum 'Y5 Mo2 O12'
_cell_length_a 5.677
_cell_length_b 6.721
_cell_length_c 7.469
_cell_angle_alpha 106.32
_cell_angle_beta 90.00
_cell_angle_gamma 114.98
_space_group_name_H-M_alt 'P 1'
_space_group_IT_number 1
loop_
_space_group_symop_operation_xyz
'x,y,z'
loop_
_atom_site_label
_atom_site_fract_x
_atom_site_fract_y
_atom_site_fract_z
_atom_site_occupancy
Y1 0.500 0.000 0.500 1
Y2 0.185 0.370 0.822 1
Y3 0.815 0.630 0.178 1
Y4 0.806 0.611 0.640 1
Y5 0.194 0.389 0.360 1
Mo1 0.282 0.000 0.000 1
Mo2 0.718 0.000 0.000 1
O1 0.999 0.998 0.817 1
O2 0.001 0.002 0.183 1
O3 0.499 0.999 0.205 1
O4 0.501 0.001 0.795 1
O5 0.093 0.690 0.425 1
O6 0.403 0.310 0.575 1
O7 0.907 0.310 0.575 1
O8 0.920 0.328 0.083 1
O9 0.592 0.672 0.917 1
O10 0.080 0.672 0.917 1
O11 0.408 0.328 0.083 1
O12 0.597 0.690 0.425 1
# N(E_F)	2.55	states/eV/f.u.
# electronic total energy	-0.6977	Ry per atom
# total magnetization	0.056	μB/atom
# E_form (uncorrected)	-3.143	eV/atom